A relaxed structure of V2TcRh. Source: the Alexandria database, functional PBE.

Cell and atoms, written as CIF:
```
data_V2TcRh
_chemical_formula_sum 'V2 Tc1 Rh1'
_space_group_name_H-M_alt 'P 4/m m m'
_space_group_IT_number 123
_space_group_name_Hall '-P 4 2'
_cell_length_a 3.039
_cell_length_b 3.039
_cell_length_c 6.015
_cell_angle_alpha 90.00
_cell_angle_beta 90.00
_cell_angle_gamma 90.00
loop_
_atom_site_label
_atom_site_type_symbol
_atom_site_fract_x
_atom_site_fract_y
_atom_site_fract_z
_atom_site_occupancy
V1 V 0.000 0.000 0.238 1
Tc1 Tc 0.500 0.500 0.000 1
Rh1 Rh 0.500 0.500 0.500 1
```

Computed properties:
* energy of formation: -29 kJ/mol of atoms
* magnetic moment: 0.0 μB/f.u.

A relaxed structure of VTcRh. Source: the Alexandria database, functional PBE.

Cell and atoms, written as CIF:
```
data_VTcRh
_chemical_formula_sum 'V2 Tc2 Rh2'
_space_group_name_H-M_alt 'C 1 m 1'
_space_group_IT_number 8
_cell_length_a 4.629
_cell_length_b 2.929
_cell_length_c 6.666
_cell_angle_alpha 90.00
_cell_angle_beta 110.00
_cell_angle_gamma 90.00
loop_
_space_group_symop_operation_xyz
'x,y,z'
'x,-y,z'
'x+1/2,y+1/2,z'
'x+1/2,-y+1/2,z'
loop_
_atom_site_label
_atom_site_type_symbol
_atom_site_fract_x
_atom_site_fract_y
_atom_site_fract_z
_atom_site_occupancy
V1 V 0.000 0.000 0.000 1
Tc1 Tc 0.339 0.000 0.687 1
Rh1 Rh 0.322 0.500 0.327 1
```

Computed properties:
* energy of formation: -19 kJ/mol of atoms
* magnetic moment: 0.0 μB/f.u.

A relaxed structure of VTcRh. Source: the Alexandria database, functional PBE.

Cell and atoms, written as CIF:
```
data_VTcRh
_chemical_formula_sum 'V2 Tc2 Rh2'
_space_group_name_H-M_alt 'P 1'
_space_group_IT_number 1
_cell_length_a 2.714
_cell_length_b 4.876
_cell_length_c 6.553
_cell_angle_alpha 79.75
_cell_angle_beta 83.66
_cell_angle_gamma 84.34
loop_
_space_group_symop_operation_xyz
'x,y,z'
loop_
_atom_site_label
_atom_site_type_symbol
_atom_site_fract_x
_atom_site_fract_y
_atom_site_fract_z
_atom_site_occupancy
V1 V 0.000 0.000 0.000 1
V2 V 0.342 0.346 0.665 1
Tc1 Tc 0.502 0.490 0.991 1
Tc2 Tc 0.862 0.846 0.673 1
Rh1 Rh 0.461 0.750 0.331 1
Rh2 Rh 0.948 0.247 0.333 1
```

Computed properties:
* energy of formation: -18 kJ/mol of atoms
* magnetic moment: 0.0 μB/f.u.

A relaxed structure of VTcRh3. Source: the Alexandria database, functional PBE.

Cell and atoms, written as CIF:
```
data_VTcRh3
_chemical_formula_sum 'V2 Tc2 Rh6'
_space_group_name_H-M_alt 'P -1'
_space_group_IT_number 2
_cell_length_a 4.681
_cell_length_b 5.373
_cell_length_c 6.136
_cell_angle_alpha 77.29
_cell_angle_beta 74.85
_cell_angle_gamma 73.00
loop_
_space_group_symop_operation_xyz
'x,y,z'
'-x,-y,-z'
loop_
_atom_site_label
_atom_site_type_symbol
_atom_site_fract_x
_atom_site_fract_y
_atom_site_fract_z
_atom_site_occupancy
V1 V 0.104 0.151 0.284 1
Tc1 Tc 0.096 0.645 0.300 1
Rh1 Rh 0.299 0.452 0.893 1
Rh2 Rh 0.300 0.953 0.893 1
Rh3 Rh 0.489 0.754 0.496 1
```

Computed properties:
* energy of formation: -19 kJ/mol of atoms
* magnetic moment: 0.0 μB/f.u.

A relaxed structure of VTcRh4. Source: the Alexandria database, functional PBE.

Cell and atoms, written as CIF:
```
data_VTcRh4
_chemical_formula_sum 'V2 Tc2 Rh8'
_space_group_name_H-M_alt 'C 1 2/m 1'
_space_group_IT_number 12
_cell_length_a 5.189
_cell_length_b 7.376
_cell_length_c 5.183
_cell_angle_alpha 90.00
_cell_angle_beta 117.80
_cell_angle_gamma 90.00
loop_
_space_group_symop_operation_xyz
'x,y,z'
'-x,-y,-z'
'-x,y,-z'
'x,-y,z'
'x+1/2,y+1/2,z'
'-x+1/2,-y+1/2,-z'
'-x+1/2,y+1/2,-z'
'x+1/2,-y+1/2,z'
loop_
_atom_site_label
_atom_site_type_symbol
_atom_site_fract_x
_atom_site_fract_y
_atom_site_fract_z
_atom_site_occupancy
V1 V 0.000 0.000 0.000 1
Tc1 Tc 0.000 0.500 0.500 1
Rh1 Rh 0.249 0.312 0.248 1
```

Computed properties:
* energy of formation: -2 kJ/mol of atoms
* magnetic moment: 0.0 μB/f.u.

A relaxed structure of V4Tc2Rh. Source: the Alexandria database, functional PBE.

Cell and atoms, written as CIF:
```
data_V4Tc2Rh
_chemical_formula_sum 'V8 Tc4 Rh2'
_space_group_name_H-M_alt 'I 4/m m m'
_space_group_IT_number 139
_space_group_name_Hall '-I 4 2'
_cell_length_a 4.470
_cell_length_b 4.470
_cell_length_c 12.319
_cell_angle_alpha 90.00
_cell_angle_beta 90.00
_cell_angle_gamma 90.00
loop_
_atom_site_label
_atom_site_type_symbol
_atom_site_fract_x
_atom_site_fract_y
_atom_site_fract_z
_atom_site_occupancy
V1 V 0.000 0.000 0.200 1
V2 V 0.000 0.500 0.000 1
Tc1 Tc 0.000 0.000 0.380 1
Rh1 Rh 0.000 0.000 0.000 1
```

Computed properties:
* energy of formation: 94 kJ/mol of atoms
* magnetic moment: 2.6 μB/f.u.

A relaxed structure of VTcRh. Source: the Alexandria database, functional PBE.

Cell and atoms, written as CIF:
```
data_VTcRh
_chemical_formula_sum 'V2 Tc2 Rh2'
_space_group_name_H-M_alt 'I 4 m m'
_space_group_IT_number 107
_space_group_name_Hall 'I 4 -2'
_cell_length_a 2.668
_cell_length_b 2.668
_cell_length_c 11.865
_cell_angle_alpha 90.00
_cell_angle_beta 90.00
_cell_angle_gamma 90.00
loop_
_atom_site_label
_atom_site_type_symbol
_atom_site_fract_x
_atom_site_fract_y
_atom_site_fract_z
_atom_site_occupancy
V1 V 0.000 0.000 0.000 1
Tc1 Tc 0.000 0.000 0.327 1
Rh1 Rh 0.000 0.000 0.660 1
```

Computed properties:
* energy of formation: -15 kJ/mol of atoms
* magnetic moment: 0.0 μB/f.u.

A relaxed structure of VTcRh. Source: the Alexandria database, functional PBE.

Cell and atoms, written as CIF:
```
data_VTcRh
_chemical_formula_sum 'V4 Tc4 Rh4'
_space_group_name_H-M_alt 'C m c m'
_space_group_IT_number 63
_space_group_name_Hall '-C 2c 2'
_cell_length_a 4.188
_cell_length_b 7.576
_cell_length_c 5.325
_cell_angle_alpha 90.00
_cell_angle_beta 90.00
_cell_angle_gamma 90.00
loop_
_atom_site_label
_atom_site_type_symbol
_atom_site_fract_x
_atom_site_fract_y
_atom_site_fract_z
_atom_site_occupancy
V1 V 0.000 0.149 0.250 1
Tc1 Tc 0.000 0.500 0.000 1
Rh1 Rh 0.000 0.173 0.750 1
```

Computed properties:
* energy of formation: -20 kJ/mol of atoms
* magnetic moment: 0.0 μB/f.u.

A relaxed structure of VTcRhW. Source: the Alexandria database, functional PBE.

Cell and atoms, written as CIF:
```
data_VTcRhW
_chemical_formula_sum 'V4 Tc4 Rh4 W4'
_space_group_name_H-M_alt 'F -4 3 m'
_space_group_IT_number 216
_space_group_name_Hall 'F -4 2 3'
_cell_length_a 6.190
_cell_length_b 6.190
_cell_length_c 6.190
_cell_angle_alpha 90.00
_cell_angle_beta 90.00
_cell_angle_gamma 90.00
loop_
_atom_site_label
_atom_site_type_symbol
_atom_site_fract_x
_atom_site_fract_y
_atom_site_fract_z
_atom_site_occupancy
V1 V 0.000 0.000 0.000 1
Tc1 Tc 0.250 0.250 0.750 1
Rh1 Rh 0.250 0.250 0.250 1
W1 W 0.000 0.000 0.500 1
```

Computed properties:
* energy of formation: -1 kJ/mol of atoms
* magnetic moment: 2.0 μB/f.u.

A relaxed structure of VZnTcRh. Source: the Alexandria database, functional PBE.

Cell and atoms, written as CIF:
```
data_VZnTcRh
_chemical_formula_sum 'V4 Zn4 Tc4 Rh4'
_space_group_name_H-M_alt 'F -4 3 m'
_space_group_IT_number 216
_space_group_name_Hall 'F -4 2 3'
_cell_length_a 6.050
_cell_length_b 6.050
_cell_length_c 6.050
_cell_angle_alpha 90.00
_cell_angle_beta 90.00
_cell_angle_gamma 90.00
loop_
_atom_site_label
_atom_site_type_symbol
_atom_site_fract_x
_atom_site_fract_y
_atom_site_fract_z
_atom_site_occupancy
V1 V 0.000 0.000 0.000 1
Zn1 Zn 0.000 0.000 0.500 1
Tc1 Tc 0.250 0.250 0.750 1
Rh1 Rh 0.250 0.250 0.250 1
```

Computed properties:
* energy of formation: -22 kJ/mol of atoms
* magnetic moment: 0.0 μB/f.u.

A relaxed structure of ZrVTcRh. Source: the Alexandria database, functional PBE.

Cell and atoms, written as CIF:
```
data_ZrVTcRh
_chemical_formula_sum 'Zr4 V4 Tc4 Rh4'
_space_group_name_H-M_alt 'F -4 3 m'
_space_group_IT_number 216
_space_group_name_Hall 'F -4 2 3'
_cell_length_a 6.335
_cell_length_b 6.335
_cell_length_c 6.335
_cell_angle_alpha 90.00
_cell_angle_beta 90.00
_cell_angle_gamma 90.00
loop_
_atom_site_label
_atom_site_type_symbol
_atom_site_fract_x
_atom_site_fract_y
_atom_site_fract_z
_atom_site_occupancy
Zr1 Zr 0.000 0.000 0.000 1
V1 V 0.000 0.000 0.500 1
Tc1 Tc 0.250 0.250 0.750 1
Rh1 Rh 0.250 0.250 0.250 1
```

Computed properties:
* energy of formation: -35 kJ/mol of atoms
* magnetic moment: 0.8 μB/f.u.

A relaxed structure of Tc2RhW. Source: the Alexandria database, functional PBE.

Cell and atoms, written as CIF:
```
data_Tc2RhW
_chemical_formula_sum 'Tc4 Rh2 W2'
_space_group_name_H-M_alt 'I 4/m m m'
_space_group_IT_number 139
_space_group_name_Hall '-I 4 2'
_cell_length_a 3.894
_cell_length_b 3.894
_cell_length_c 7.837
_cell_angle_alpha 90.00
_cell_angle_beta 90.00
_cell_angle_gamma 90.00
loop_
_atom_site_label
_atom_site_type_symbol
_atom_site_fract_x
_atom_site_fract_y
_atom_site_fract_z
_atom_site_occupancy
Tc1 Tc 0.000 0.500 0.250 1
Rh1 Rh 0.000 0.000 0.000 1
W1 W 0.000 0.000 0.500 1
```

Computed properties:
* energy of formation: 0 kJ/mol of atoms
* magnetic moment: 0.0 μB/f.u.

For each record above, in turn, the calculated DOS at the Fermi energy values are 5.008; 4.361; 6.052; 10.957; 14.849; 22.906; 5.237; 15.660; 24.929; 19.716; 16.097; 6.811 states/eV per cell.